No. 1
First-principles (GGA-PBE) data for TaPb3F after structural relaxation, as listed in the Alexandria database.

a b c (Å): 5.468 5.468 5.468
angles (deg): 90.00 90.00 90.00
Fractional coordinates of all 5 atoms:
Ta (0.000, 0.000, 0.000)
Pb (0.000, 0.000, 0.500)
Pb (0.000, 0.500, 0.000)
Pb (0.500, 0.000, 0.000)
F (0.500, 0.500, 0.500)

Properties
* mass density: 8.34 g/cm3
* formation energy from raw total energies: 55 kJ/mol of formula units
* VASP energy: -24.28 eV per formula unit

***

No. 2
First-principles (GGA-PBE) data for MnAlCl2 after structural relaxation, as listed in the Alexandria database.

a b c (Å): 3.239 4.236 5.828
angles (deg): 90.00 90.00 90.00
Fractional coordinates of all 4 atoms:
Mn (0.000, 0.000, 0.000)
Al (0.500, 0.000, 0.500)
Cl (0.000, 0.500, 0.500)
Cl (0.500, 0.500, 0.000)

Properties
* mass density: 3.17 g/cm3
* formation energy from raw total energies: -52 kJ/mol of formula units
* VASP energy: -17.15 eV per formula unit

***

No. 3
First-principles (GGA-PBE) data for SiTeW2 after structural relaxation, as listed in the Alexandria database.

a b c (Å): 3.330 3.330 6.219
angles (deg): 90.00 90.00 90.00
Fractional coordinates of all 4 atoms:
Si (0.000, 0.000, 0.000)
Te (0.500, 0.500, 0.329)
W (0.000, 0.000, 0.566)
W (0.500, 0.500, 0.863)

Properties
* mass density: 12.60 g/cm3
* formation energy from raw total energies: 113 kJ/mol of formula units
* VASP energy: -33.30 eV per formula unit

***

No. 4
First-principles (GGA-PBE) data for NaFe2TeBr after structural relaxation, as listed in the Alexandria database.

a b c (Å): 4.854 4.854 6.264
angles (deg): 90.00 90.00 90.00
Fractional coordinates of all 5 atoms:
Na (0.000, 0.000, 0.000)
Fe (0.000, 0.500, 0.500)
Fe (0.500, 0.000, 0.500)
Te (0.000, 0.000, 0.500)
Br (0.500, 0.500, 0.000)

Properties
* mass density: 3.85 g/cm3
* formation energy from raw total energies: 178 kJ/mol of formula units
* VASP energy: -21.21 eV per formula unit